A relaxed structure of Sn10OsSe10, computed with PBE.

a = 8.4333 Å, b = 11.6181 Å, c = 11.7991 Å
α = 90.00°, β = 90.00°, γ = 90.00°
Closest atoms and distances in Å follow each position.
Fractional positions:
1 Os 0.5000 0.5000 0.0000  6 Sn 2.62-2.69
2 Os 0.5000 0.0000 0.5000  6 Sn 2.62-2.69
3 Se 0.0000 0.7977 0.0517  6 Sn 2.88-3.19
4 Se 0.5000 0.8634 0.0978  3 Sn 2.66-2.91
5 Se 0.0000 0.5022 0.1737  3 Sn 2.75-2.85
6 Se 0.3070 0.1766 0.1821  4 Sn 2.72-3.02
7 Se 0.6930 0.1766 0.1821  4 Sn 2.72-3.02
8 Se 0.3070 0.6766 0.3179  4 Sn 2.72-3.02
9 Se 0.6930 0.6766 0.3179  4 Sn 2.72-3.02
10 Se 0.0000 0.0022 0.3263  3 Sn 2.75-2.85
11 Se 0.5000 0.3634 0.4022  3 Sn 2.66-2.91
12 Se 0.0000 0.2977 0.4483  6 Sn 2.88-3.19
13 Se 0.0000 0.7023 0.5517  6 Sn 2.88-3.19
14 Se 0.5000 0.6366 0.5978  3 Sn 2.66-2.91
15 Se 0.0000 0.9978 0.6737  3 Sn 2.75-2.85
16 Se 0.3070 0.3234 0.6821  4 Sn 2.72-3.02
17 Se 0.6930 0.3234 0.6821  4 Sn 2.72-3.02
18 Se 0.3070 0.8234 0.8179  4 Sn 2.72-3.02
19 Se 0.6930 0.8234 0.8179  4 Sn 2.72-3.02
20 Se 0.0000 0.4978 0.8263  3 Sn 2.75-2.85
21 Se 0.5000 0.1366 0.9022  3 Sn 2.66-2.91
22 Se 0.0000 0.2023 0.9483  6 Sn 2.88-3.19
23 Sn 0.2457 0.0000 0.0000  6 Se 2.91-3.19
24 Sn 0.7543 0.0000 0.0000  6 Se 2.91-3.19
25 Sn 0.2645 0.6275 0.0886  1 Os 2.69, 2 Se 2.79-2.85
26 Sn 0.7355 0.6275 0.0886  1 Os 2.69, 2 Se 2.79-2.85
27 Sn 0.5000 0.3641 0.1771  1 Os 2.62, 3 Se 2.66-2.72
28 Sn 0.0000 0.2659 0.1842  4 Se 2.75-2.88
29 Sn 0.0000 0.7659 0.3158  4 Se 2.75-2.88
30 Sn 0.5000 0.8641 0.3229  1 Os 2.62, 3 Se 2.66-2.72
31 Sn 0.2645 0.1275 0.4114  1 Os 2.69, 2 Se 2.79-2.85
32 Sn 0.7355 0.1275 0.4114  1 Os 2.69, 2 Se 2.79-2.85
33 Sn 0.2457 0.5000 0.5000  6 Se 2.91-3.19
34 Sn 0.7543 0.5000 0.5000  6 Se 2.91-3.19
35 Sn 0.2645 0.8725 0.5886  1 Os 2.69, 2 Se 2.79-2.85
36 Sn 0.7355 0.8725 0.5886  1 Os 2.69, 2 Se 2.79-2.85
37 Sn 0.5000 0.1359 0.6771  1 Os 2.62, 3 Se 2.66-2.72
38 Sn 0.0000 0.2341 0.6842  4 Se 2.75-2.88
39 Sn 0.0000 0.7341 0.8158  4 Se 2.75-2.88
40 Sn 0.5000 0.6359 0.8229  1 Os 2.62, 3 Se 2.66-2.72
41 Sn 0.2645 0.3725 0.9114  1 Os 2.69, 2 Se 2.79-2.85
42 Sn 0.7355 0.3725 0.9114  1 Os 2.69, 2 Se 2.79-2.85

Calculated values
* energy: -4.334 eV per atom
* space group: Pbam, No. 55